Density functional theory data (GGA+U) for a geometry-optimized NaLiCoF4 structure.

As for the calculated total energy: -4.39 eV/atom.

The structure belongs to space group I-4 (No. 82); the cell edges are 5.590, 5.590 and 5.936 Å and the angles 90.00°, 90.00° and 90.00°. The asymmetric unit holds Na at (0.000, 0.000, 0.000), Li at (0.000, 0.500, 0.250), Co at (0.000, 0.000, 0.500) and F at (0.151, 0.709, 0.469).